Arrangement P

A plane-wave DFT calculation with PBE was carried out for PrThGa4 after structural relaxation.

## Properties
Density (g/cm³): 7.9
V (A^3/atom): 22.72

Cell lengths 8.0283, 8.0283, 8.0283 Å; angles 149.07, 149.07, 44.32 degrees
Last column: nearest neighbours and their distance in Å.
Fractional coordinates of all 6 atoms:
Pr 0.0000 0.0000 0.0000  12 Ga 3.27-3.28
Th 0.7500 0.2500 0.5000  12 Ga 3.27-3.28
Ga 0.1673 0.6673 0.5000  3 Ga 2.46-2.48
Ga 0.3327 0.8327 0.5000  3 Ga 2.46-2.48
Ga 0.4170 0.4170 0.0000  3 Ga 2.47-2.48
Ga 0.5830 0.5830 0.0000  3 Ga 2.47-2.48

---

Arrangement Q

A plane-wave DFT calculation with PBE was carried out for PrThGa4 after structural relaxation.

## Properties
Density (g/cm³): 8.4
V (A^3/atom): 21.52

Cell lengths 5.6731, 5.6731, 5.6731 Å; angles 60.00, 60.00, 60.00 degrees
Last column: nearest neighbours and their distance in Å.
Fractional coordinates of all 6 atoms:
Pr 0.0000 0.0000 0.0000  12 Ga 3.33, 4 Th 3.47
Th 0.7500 0.7500 0.7500  12 Ga 3.33, 4 Pr 3.47
Ga 0.3755 0.3755 0.3755  6 Ga 2.83-2.85
Ga 0.3755 0.3755 0.8736  6 Ga 2.83-2.85
Ga 0.3755 0.8736 0.3755  6 Ga 2.83-2.85
Ga 0.8736 0.3755 0.3755  6 Ga 2.83-2.85

---

Energies relative to the minimum, meV per atom: arrangement P 0; arrangement Q 179